PuThSe2: relaxed, GGA-PBE.

formation energy (no corrections): -1472 meV per atom
polymorph energy (0 for the lowest one): 79.9 meV/atom
V: 26.19 A^3/atom
ρ: 10.049 Mg/m³
uncorrected energy: -8.652 eV/atom
total moment: 5.90 μB/cell

Lattice parameters (Å, degrees): 7.801 7.801 7.801 29.94 29.94 29.94
Fractional coordinates of all 4 atoms:
Pu: 0.000 0.000 0.000
Th: 0.827 0.827 0.827
Se: 0.409 0.409 0.409
Se: 0.582 0.582 0.582